# 1
PBE TlAg2As, optimized geometry; spin magnetization = 0.0 μB/f.u.; formation energy = 0.19 eV per atom; space-group type = P4mm
1.0
-3.408 -1.289 0.543
-0.144 -1.099 -3.513
2.381 -5.597 1.653
Tl Ag As
1 2 1
Cartesian
0.021 -5.418 -0.238
-1.147 -2.671 -1.049
0.070 -0.164 0.048
1.076 -2.530 0.747

# 2
PBE TlAg2As, optimized geometry; spin magnetization = 0.0 μB/f.u.; formation energy = 0.22 eV per atom; space-group type = R3m
1.0
9.827 -0.107 -0.063
9.339 3.058 -0.063
9.339 1.438 2.700
Ag Tl As
2 1 1
Cartesian
7.089 1.092 0.640
28.277 4.354 2.554
21.375 3.292 1.930
14.521 2.236 1.311

# 3
PBE TlAg2As, optimized geometry; spin magnetization = 0.0 μB/f.u.; formation energy = 0.21 eV per atom; space-group type = Cmmm
1.0
-4.160 1.786 2.741
1.085 -4.849 1.823
1.922 1.226 2.119
Ag Tl As
2 1 1
Cartesian
0.000 0.000 0.000
-1.538 -1.532 2.282
1.504 -1.811 1.971
-1.119 1.506 2.430

Number 1: energy -12.0 eV for the cell shown. Number 2: energy -11.8 eV for the cell shown. Number 3: energy -11.9 eV for the cell shown.